[1]
CrFe3Mo: relaxed, PBE-GGA.

Structure (extended XYZ):
```
5
Lattice="4.372 0.000 0.000 0.000 4.372 0.000 0.000 0.000 4.372" Properties=species:S:1:pos:R:3 pbc="T T T"
Cr 0.000 0.000 0.000
Fe 0.000 2.186 2.186
Fe 2.186 0.000 2.186
Fe 2.186 2.186 0.000
Mo 2.186 2.186 2.186
```

Output
- raw total energy (Ha/atom) = -0.277
- calculated formation energy (eV per atom) = 1.64
- D(E_F) (states/eV per cell) = 6.1
- energy relative to the lowest polymorph listed for this composition (meV per atom) = 415

[2]
Ca2SbRh: relaxed, PBE-GGA.

Structure (extended XYZ):
```
4
Lattice="0.000 3.515 3.515 3.515 0.000 3.515 3.515 3.515 0.000" Properties=species:S:1:pos:R:3 pbc="T T T"
Ca 0.000 0.000 0.000
Ca 1.757 1.757 1.757
Sb 5.272 5.272 5.272
Rh 3.515 3.515 3.515
```

Output
- raw total energy (Ha/atom) = -0.162
- D(E_F) (states/eV per cell) = 0.1
- uncorrected formation energy (meV per atom) = -542.9

[3]
Mg4Os: relaxed, PBE-GGA.

Structure (extended XYZ):
```
5
Lattice="-3.091 3.091 3.091 3.091 -3.091 3.091 3.091 3.091 -3.091" Properties=species:S:1:pos:R:3 pbc="T T T"
Mg 1.546 1.546 -1.546
Mg 1.546 -1.546 1.546
Mg -1.546 1.546 1.546
Mg 1.546 1.546 1.546
Os 0.000 0.000 0.000
```

Output
- raw total energy (Ha/atom) = -0.120
- calculated formation energy (eV per atom) = 0.26
- D(E_F) (states/eV per cell) = 2.0
- energy relative to the lowest polymorph listed for this composition (meV per atom) = 167

[4]
ZnCr: relaxed, PBE-GGA.

Structure (extended XYZ):
```
12
Lattice="7.258 0.000 0.000 0.000 7.258 0.000 0.000 0.000 7.258" Properties=species:S:1:pos:R:3 pbc="T T T"
Zn 0.000 1.814 3.629
Zn 0.000 5.443 3.629
Zn 1.814 3.629 0.000
Zn 3.629 0.000 1.814
Zn 3.629 0.000 5.443
Zn 5.443 3.629 0.000
Cr 0.000 3.629 1.814
Cr 0.000 3.629 5.443
Cr 1.814 0.000 3.629
Cr 3.629 1.814 0.000
Cr 3.629 5.443 0.000
Cr 5.443 0.000 3.629
```

Output
- raw total energy (Ha/atom) = -0.148
- calculated formation energy (eV per atom) = 1.43
- D(E_F) (states/eV per cell) = 7.0

[5]
HoBeZn2: relaxed, PBE-GGA.

Structure (extended XYZ):
```
4
Lattice="2.017 1.164 4.938 -2.017 1.164 4.938 0.000 -2.329 4.938" Properties=species:S:1:pos:R:3 pbc="T T T"
Ho 0.000 0.000 0.000
Be 0.000 0.000 7.407
Zn 0.000 0.000 3.059
Zn 0.000 0.000 11.755
```

Output
- raw total energy (Ha/atom) = -0.105
- calculated formation energy (eV per atom) = -0.15
- D(E_F) (states/eV per cell) = 2.7

[6]
Sb2SCl: relaxed, PBE-GGA.

Structure (extended XYZ):
```
4
Lattice="0.000 3.561 3.561 3.561 0.000 3.561 3.561 3.561 0.000" Properties=species:S:1:pos:R:3 pbc="T T T"
Sb 1.781 1.781 1.781
Sb 5.342 5.342 5.342
S 0.000 0.000 0.000
Cl 3.561 3.561 3.561
```

Output
- raw total energy (Ha/atom) = -0.124
- D(E_F) (states/eV per cell) = 2.0
- energy relative to the lowest polymorph listed for this composition (meV per atom) = 253
- uncorrected formation energy (meV per atom) = 186.9

[7]
Os3PtPb: relaxed, PBE-GGA.

Structure (extended XYZ):
```
5
Lattice="4.809 0.000 0.000 0.000 4.809 0.000 0.000 0.000 4.809" Properties=species:S:1:pos:R:3 pbc="T T T"
Os 0.000 0.000 2.404
Os 0.000 2.404 0.000
Os 2.404 0.000 0.000
Pt 0.000 0.000 0.000
Pb 2.404 2.404 2.404
```

Output
- raw total energy (Ha/atom) = -0.235
- calculated formation energy (eV per atom) = 2.29
- D(E_F) (states/eV per cell) = 7.1
- energy relative to the lowest polymorph listed for this composition (meV per atom) = 0

[8]
Sr3TlZn: relaxed, PBE-GGA.

Structure (extended XYZ):
```
5
Lattice="6.074 0.000 0.000 0.000 6.074 0.000 0.000 0.000 6.074" Properties=species:S:1:pos:R:3 pbc="T T T"
Sr 0.000 0.000 3.037
Sr 0.000 3.037 0.000
Sr 3.037 0.000 0.000
Tl 3.037 3.037 3.037
Zn 0.000 0.000 0.000
```

Output
- raw total energy (Ha/atom) = -0.063
- calculated formation energy (eV per atom) = 0.02
- D(E_F) (states/eV per cell) = 6.5
- energy relative to the lowest polymorph listed for this composition (meV per atom) = 280

Question: What is the raw total energy in the seventh record?
Answer: -0.235 Ha/atom

Question: Number 4 is which compound?
Answer: ZnCr

Question: Which value of raw total energy does entry 4 give?
Answer: -0.148 Ha/atom

Question: The highest D(E_F) belongs to which entry?
Answer: Os3PtPb